A relaxed PtRhCl crystal. Source: Alexandria via LeMat-Bulk, functional PBEsol.

Output
Size of the total moment, μB per atom: 0.000
Electronic total energy, eV per atom: -5.369
Theoretical density, g cm⁻³: 12.155
Fermi-level density of states, states/eV/atom: 1.0064
V, Å³/atom: 15.184
E above lowest polymorph, eV/f.u.: 0.00
ΔE_f (raw), meV per atom: 334

a = 2.7703 Å, b = 2.8675 Å, c = 6.6936 Å
α = 84.26°, β = 78.06°, γ = 61.12°
Positions (direct):
1 Rh 0.3409 0.0000 0.3182
2 Pt 0.6713 0.0000 0.6574
3 Cl 0.9878 0.0000 0.0243


A relaxed PtRhCl crystal. Source: Alexandria via LeMat-Bulk, functional PBEsol.

Output
Size of the total moment, μB per atom: 0.003
Electronic total energy, eV per atom: -4.643
Theoretical density, g cm⁻³: 11.386
Fermi-level density of states, states/eV/atom: 1.8360
V, Å³/atom: 16.210
E above lowest polymorph, eV/f.u.: 2.18
ΔE_f (raw), meV per atom: 1061

a = 4.0971 Å, b = 4.0971 Å, c = 4.0971 Å
α = 60.00°, β = 60.00°, γ = 60.00°
Positions (direct):
1 Rh 0.5000 0.5000 0.5000
2 Pt 0.0000 0.0000 0.0000
3 Cl 0.2500 0.2500 0.2500


A relaxed RuPtCl2 crystal. Source: Alexandria via LeMat-Bulk, functional PBEsol.

Output
Size of the total moment, μB per atom: 0.000
Electronic total energy, eV per atom: -4.817
Theoretical density, g cm⁻³: 9.781
Fermi-level density of states, states/eV/atom: 0.7828
V, Å³/atom: 15.579
E above lowest polymorph, eV/f.u.: 0.00
ΔE_f (raw), meV per atom: 471

a = 2.8276 Å, b = 2.9729 Å, c = 8.4274 Å
α = 90.00°, β = 90.00°, γ = 118.40°
Positions (direct):
1 Ru 0.5000 0.0000 0.0000
2 Pt 0.5000 0.0000 0.5000
3 Cl 0.0000 0.0000 0.7758
4 Cl 0.0000 0.0000 0.2242


A relaxed RuPtCl2 crystal. Source: Alexandria via LeMat-Bulk, functional PBEsol.

Output
Size of the total moment, μB per atom: 0.007
Electronic total energy, eV per atom: -4.375
Theoretical density, g cm⁻³: 10.198
Fermi-level density of states, states/eV/atom: 1.1296
V, Å³/atom: 14.941
E above lowest polymorph, eV/f.u.: 1.77
ΔE_f (raw), meV per atom: 913

a = 4.2001 Å, b = 4.5054 Å, c = 4.2001 Å
α = 117.78°, β = 90.00°, γ = 117.78°
Positions (direct):
1 Ru 0.0000 0.0000 0.0000
2 Pt 0.5000 0.0000 0.5000
3 Cl 0.7500 0.5000 0.2500
4 Cl 0.2500 0.5000 0.7500